Here is Nb2CoS4 after structural relaxation from Alexandria via LeMat-Bulk. Energies are from PBE.

Properties
- Total moment: 1.10 μB/f.u.
- Calculated volume: 20.587 Å³ per atom
- Formation energy without anion corrections: -16.95 kcal/mol of atoms
- Energy above the most stable polymorph in this dataset: 0.39 eV per formula unit
- Calculated total energy: -6.986 eV per atom

abc: 14.0037 3.2969 12.4855
angles: 90.00 90.00 90.00
Last column: nearest neighbours and their distance in Å.
Space group Pnma (No. 62)
Asymmetric unit:
1 Nb 0.0020 0.2500 0.1052 x4  6 S 2.46-2.66
2 Nb 0.0607 0.2500 0.5652 x4  5 S 2.47-2.63
3 Co 0.0712 0.2500 0.3174 x4  5 S 2.28-2.33
4 S 0.0904 0.7500 0.7086 x4  1 Co 2.28, 2 Nb 2.47
5 S 0.1145 0.7500 0.1953 x4  2 Co 2.33, 2 Nb 2.54
6 S 0.1170 0.2500 0.9563 x4  3 Nb 2.46-2.47
7 S 0.1274 0.7500 0.4323 x4  2 Co 2.32, 2 Nb 2.52